(1)
BaSc3Te6: relaxed, PBE.

Lattice parameters (Å, degrees): 12.5579 4.2584 12.9931 90.00 109.23 90.00
Atoms (fractional coordinates):
Ba1 0.1153 0.2500 0.3654
Ba2 0.8847 0.7500 0.6346
Sc1 0.1548 0.2500 0.0382
Sc2 0.2752 0.7500 0.7257
Sc3 0.4846 0.7500 0.3581
Sc4 0.5154 0.2500 0.6419
Sc5 0.7248 0.2500 0.2743
Sc6 0.8452 0.7500 0.9618
Te1 0.0584 0.7500 0.1391
Te2 0.1113 0.2500 0.6326
Te3 0.2345 0.7500 0.9320
Te4 0.3375 0.2500 0.2462
Te5 0.3552 0.7500 0.5221
Te6 0.4357 0.2500 0.8232
Te7 0.5643 0.7500 0.1768
Te8 0.6448 0.2500 0.4779
Te9 0.6625 0.7500 0.7538
Te10 0.7655 0.2500 0.0680
Te11 0.8887 0.7500 0.3674
Te12 0.9416 0.2500 0.8609

Calculated values
As for the total magnetization: 0.00 μB per formula unit. For the formation energy (no corrections), the calculation gives -1212 meV per atom. As for the density of states at the Fermi level: 0.45 states/eV/atom.

=====

(2)
Er5Tm12Zr2: relaxed, PBE.

Lattice parameters (Å, degrees): 9.6575 9.6575 9.3421 108.31 108.31 44.40
Atoms (fractional coordinates):
Er1 0.0000 0.0000 0.0000
Er2 0.2017 0.2017 0.7115
Er3 0.3124 0.3124 0.2910
Er4 0.6876 0.6876 0.7090
Er5 0.7983 0.7983 0.2885
Tm1 0.0180 0.0180 0.6913
Tm2 0.0892 0.5952 0.9957
Tm3 0.0891 0.5988 0.6255
Tm4 0.4012 0.9109 0.3745
Tm5 0.4048 0.9108 0.0043
Tm6 0.4958 0.4958 0.8151
Tm7 0.5042 0.5042 0.1849
Tm8 0.5952 0.0892 0.9957
Tm9 0.5988 0.0891 0.6255
Tm10 0.9109 0.4012 0.3745
Tm11 0.9108 0.4048 0.0043
Tm12 0.9820 0.9820 0.3087
Zr1 0.3232 0.6768 0.5000
Zr2 0.6768 0.3232 0.5000

Calculated values
As for the total magnetization: 0.01 μB per formula unit. The value obtained for the formation energy is 0.171 eV per atom. As for the density of states at the Fermi level: 1.35 states/eV/atom.

=====

(3)
Pm2TmSe2O2: relaxed, PBE.

Lattice parameters (Å, degrees): 4.2630 4.2630 15.5154 90.00 90.00 90.00
Atoms (fractional coordinates):
Pm1 0.0000 0.0000 0.1267
Pm2 0.0000 0.0000 0.8733
Pm3 0.5000 0.5000 0.3733
Pm4 0.5000 0.5000 0.6267
Tm1 0.0000 0.0000 0.5000
Tm2 0.5000 0.5000 0.0000
Se1 0.0000 0.0000 0.3202
Se2 0.0000 0.0000 0.6798
Se3 0.5000 0.5000 0.1798
Se4 0.5000 0.5000 0.8202
O1 0.0000 0.5000 0.0000
O2 0.0000 0.5000 0.5000
O3 0.5000 0.0000 0.0000
O4 0.5000 0.0000 0.5000

Calculated values
As for the total magnetization: 0.00 μB per formula unit. For the formation energy (no corrections), the calculation gives -2416 meV per atom. As for the density of states at the Fermi level: 0.39 states/eV/atom.

=====

(4)
La2CrSnN: relaxed, PBE.

Lattice parameters (Å, degrees): 5.4068 5.4068 3.9154 90.00 90.00 90.00
Atoms (fractional coordinates):
La1 0.0000 0.5000 0.0000
La2 0.5000 0.0000 0.0000
Cr1 0.0000 0.0000 0.5000
Sn1 0.5000 0.5000 0.5000
N1 0.0000 0.0000 0.0000

Calculated values
As for the total magnetization: 3.10 μB per formula unit. For the formation energy (no corrections), the calculation gives -686 meV per atom. As for the density of states at the Fermi level: 0.60 states/eV/atom.

=====

(5)
Ba2Li2BiO6: relaxed, PBE.

Lattice parameters (Å, degrees): 6.4369 6.4369 6.4369 55.88 55.88 55.88
Atoms (fractional coordinates):
Ba1 0.2258 0.2258 0.2258
Ba2 0.7742 0.7742 0.7742
Li1 0.4236 0.4236 0.4236
Li2 0.5764 0.5764 0.5764
Bi1 0.0000 0.0000 0.0000
O1 0.2357 0.7592 0.7592
O2 0.2408 0.2408 0.7643
O3 0.2408 0.7643 0.2408
O4 0.7592 0.2357 0.7592
O5 0.7592 0.7592 0.2357
O6 0.7643 0.2408 0.2408

Calculated values
As for the total magnetization: 1.05 μB per formula unit. For the formation energy (no corrections), the calculation gives -1748 meV per atom. As for the density of states at the Fermi level: 0.66 states/eV/atom.

=====

(6)
ZrTl2: relaxed, PBE.

Lattice parameters (Å, degrees): 7.0147 7.0147 7.0147 90.00 90.00 90.00
Atoms (fractional coordinates):
Zr1 0.0000 0.0000 0.0000
Zr2 0.0000 0.5000 0.5000
Zr3 0.5000 0.0000 0.5000
Zr4 0.5000 0.5000 0.0000
Tl1 0.2500 0.2500 0.2500
Tl2 0.2500 0.2500 0.7500
Tl3 0.2500 0.7500 0.2500
Tl4 0.2500 0.7500 0.7500
Tl5 0.7500 0.2500 0.2500
Tl6 0.7500 0.2500 0.7500
Tl7 0.7500 0.7500 0.2500
Tl8 0.7500 0.7500 0.7500

Calculated values
As for the total magnetization: 0.00 μB per formula unit. The value obtained for the formation energy is 0.346 eV per atom. As for the density of states at the Fermi level: 0.60 states/eV/atom.

=====

(7)
KTiZn2Rh: relaxed, PBE.

Lattice parameters (Å, degrees): 4.9435 4.9435 5.4007 90.00 90.00 90.00
Atoms (fractional coordinates):
K1 0.0000 0.0000 0.0000
Ti1 0.0000 0.0000 0.5000
Zn1 0.0000 0.5000 0.5000
Zn2 0.5000 0.0000 0.5000
Rh1 0.5000 0.5000 0.0000

Calculated values
As for the total magnetization: 2.92 μB per formula unit. The value obtained for the formation energy is 1.456 eV per atom. As for the density of states at the Fermi level: 1.80 states/eV/atom.

=====

(8)
LaHS3: relaxed, PBE.

Lattice parameters (Å, degrees): 4.3578 4.3578 4.3578 90.00 90.00 90.00
Atoms (fractional coordinates):
La1 0.0000 0.0000 0.0000
H1 0.5000 0.5000 0.5000
S1 0.0000 0.5000 0.5000
S2 0.5000 0.0000 0.5000
S3 0.5000 0.5000 0.0000

Calculated values
As for the total magnetization: 0.00 μB per formula unit. For the relative energy among the computed polymorphs, the calculation gives 0 meV per atom. As for the density of states at the Fermi level: 0.70 states/eV/atom.

=====

(9)
TaRuRh2: relaxed, PBE.

Lattice parameters (Å, degrees): 2.7842 2.7842 26.9483 90.00 90.00 120.00
Atoms (fractional coordinates):
Ta1 0.0000 0.0000 0.0000
Ta2 0.3333 0.6667 0.6667
Ta3 0.6667 0.3333 0.3333
Ru1 0.0000 0.0000 0.5000
Ru2 0.3333 0.6667 0.1667
Ru3 0.6667 0.3333 0.8333
Rh1 0.0000 0.0000 0.2478
Rh2 0.0000 0.0000 0.7522
Rh3 0.3333 0.6667 0.4189
Rh4 0.3333 0.6667 0.9144
Rh5 0.6667 0.3333 0.0856
Rh6 0.6667 0.3333 0.5811

Calculated values
As for the total magnetization: 0.00 μB per formula unit. The value obtained for the formation energy is -0.062 eV per atom. For the relative energy among the computed polymorphs, the calculation gives 411 meV per atom. As for the density of states at the Fermi level: 1.01 states/eV/atom.

=====

(10)
SrAgHg2F8: relaxed, PBE.

Lattice parameters (Å, degrees): 6.9365 6.9365 6.9365 131.71 131.71 70.68
Atoms (fractional coordinates):
Sr1 0.0000 0.0000 0.0000
Ag1 0.2500 0.7500 0.5000
Hg1 0.5000 0.5000 0.0000
Hg2 0.7500 0.2500 0.5000
F1 0.1277 0.1242 0.5079
F2 0.1277 0.6198 0.0035
F3 0.3802 0.3836 0.5079
F4 0.3802 0.8723 0.9965
F5 0.6164 0.1242 0.9965
F6 0.6164 0.6198 0.4921
F7 0.8758 0.3836 0.0035
F8 0.8758 0.8723 0.4921

Calculated values
As for the total magnetization: 1.07 μB per formula unit. For the formation energy (no corrections), the calculation gives -1928 meV per atom. As for the density of states at the Fermi level: 0.76 states/eV/atom.

=====

(11)
Zr2ScBr: relaxed, PBE.

Lattice parameters (Å, degrees): 3.2726 3.2726 9.1317 90.00 90.00 90.00
Atoms (fractional coordinates):
Zr1 0.0000 0.0000 0.0000
Zr2 0.5000 0.5000 0.2280
Sc1 0.5000 0.5000 0.7553
Br1 0.0000 0.0000 0.5619

Calculated values
As for the total magnetization: 0.00 μB per formula unit. For the formation energy (no corrections), the calculation gives -264 meV per atom. As for the density of states at the Fermi level: 1.06 states/eV/atom.

=====

(12)
ScS2NF: relaxed, PBE.

Lattice parameters (Å, degrees): 4.3259 4.3259 3.8857 90.00 90.00 90.00
Atoms (fractional coordinates):
Sc1 0.0000 0.0000 0.0000
S1 0.0000 0.5000 0.5000
S2 0.5000 0.0000 0.5000
N1 0.5000 0.5000 0.0000
F1 0.5000 0.5000 0.5000

Calculated values
As for the total magnetization: 0.10 μB per formula unit. For the formation energy (no corrections), the calculation gives 496 meV per atom. For the relative energy among the computed polymorphs, the calculation gives 126 meV per atom. As for the density of states at the Fermi level: 0.47 states/eV/atom.